Density functional theory data (GGA-PBE) for a relaxed Cu2SO crystal.

Cell: 5.6770 7.4275 3.0207 Å, 78.28 89.96 107.74°
Closest atoms and distances in Å follow each position.
Element x y z (fractional)
S 0.5756 0.0913 0.4558  3 Cu 2.13-2.21
S 0.0102 0.8411 0.0807  3 Cu 2.13-2.21
O 0.5061 0.6094 0.1969  4 Cu 1.94-1.99
O 0.0797 0.3230 0.3395  4 Cu 1.94-1.99
Cu 0.7228 0.7124 0.6454  2 O 1.94-1.95
Cu 0.8631 0.2198 0.8914  2 O 1.94-1.95
Cu 0.1530 0.6022 0.2001  2 O 1.94-1.99, 1 S 2.13
Cu 0.4328 0.3301 0.3357  2 O 1.94-1.99, 1 S 2.13

## Properties
**DOS(E_F)**: 1.4 states/eV/f.u.
**Mass density**: 4.91 g/cm³
**Space-group type**: C2/m
**M_tot**: 0.0 μB/cell
**Energy relative to the elements, uncorrected**: -297.3 meV/atom
**Offset from the most stable computed form**: 0.0 meV per atom
**V**: 119 Å³/cell

---

Density functional theory data (GGA-PBE) for a relaxed LiInCl2 crystal.

Cell: 5.1846 5.1846 5.1846 Å, 60.00 60.00 60.00°
Closest atoms and distances in Å follow each position.
Element x y z (fractional)
Cl 0.2500 0.2500 0.2500  4 In 3.17, 4 Li 3.17
Cl 0.7500 0.7500 0.7500  4 In 3.17, 4 Li 3.17
Li 0.0000 0.0000 0.0000  8 Cl 3.17
In 0.5000 0.5000 0.5000  8 Cl 3.17

## Properties
**DOS(E_F)**: 0.0 states/eV/f.u.
**Mass density**: 3.25 g/cm³
**Space-group type**: Fm-3m
**M_tot**: 0.0 μB/cell
**Energy relative to the elements, uncorrected**: -1032.3 meV/atom
**Offset from the most stable computed form**: 273.0 meV per atom
**V**: 99 Å³/cell

---

Density functional theory data (GGA-PBE) for a relaxed Zr5P2HC crystal.

Cell: 3.5316 7.7618 10.7034 Å, 90.00 90.00 103.15°
Closest atoms and distances in Å follow each position.
Element x y z (fractional)
Zr 0.3372 0.6743 0.0160  1 C 2.32
Zr 0.6916 0.3832 0.8704  1 H 2.07
Zr 0.5008 0.0016 0.7664  1 H 2.00
Zr 0.3098 0.6195 0.6658  2 C 2.37
Zr 0.9709 0.9419 0.5223  2 H 2.07
Zr 0.6628 0.3257 0.5160  1 C 2.32
Zr 0.3084 0.6168 0.3704  1 H 2.07
Zr 0.4992 0.9984 0.2664  1 H 2.00
Zr 0.6902 0.3805 0.1658  2 C 2.37
Zr 0.0291 0.0581 0.0223  2 H 2.07
P 0.8786 0.7572 0.8397  7 Zr 2.66-2.85
P 0.1238 0.2476 0.6923  8 Zr 2.65-2.94
P 0.1214 0.2428 0.3397  7 Zr 2.66-2.85
P 0.8762 0.7524 0.1923  8 Zr 2.65-2.94
H 0.5618 0.1237 0.9321  4 Zr 2.00-2.07
H 0.4382 0.8763 0.4321  4 Zr 2.00-2.07
C 0.8166 0.6332 0.5189  6 Zr 2.32-2.38
C 0.1834 0.3668 0.0189  6 Zr 2.32-2.38

## Properties
**DOS(E_F)**: 4.3 states/eV/f.u.
**Mass density**: 6.17 g/cm³
**Space-group type**: Cmc2_1
**M_tot**: 0.0 μB/cell
**DFT total energy**: -8.36 eV/atom
**V**: 286 Å³/cell

---

Density functional theory data (GGA-PBE) for a relaxed Li2PPt crystal.

Cell: 2.6694 2.6694 7.7432 Å, 90.00 90.00 90.09°
Closest atoms and distances in Å follow each position.
Element x y z (fractional)
Li 0.0000 0.0000 0.0026  4 Li 2.67, 4 P 2.69, 4 Pt 2.72
Li 0.0000 0.0000 0.4974  4 Li 2.67, 4 P 2.69, 4 Pt 2.72
P 0.5000 0.5000 0.2500  4 P 2.67, 8 Li 2.69
Pt 0.5000 0.5000 0.7500  4 Pt 2.67, 8 Li 2.72

## Properties
**DOS(E_F)**: 0.9 states/eV/f.u.
**Mass density**: 7.22 g/cm³
**Space-group type**: P4/mmm
**M_tot**: 0.0 μB/cell
**Formation enthalpy at 0 K**: -458.6 meV per atom
**V**: 55 Å³/cell

---

Density functional theory data (GGA-PBE) for a relaxed Nd3GaRu3 crystal.

Cell: 4.2705 5.7835 13.6111 Å, 90.00 90.00 111.67°
Closest atoms and distances in Å follow each position.
Element x y z (fractional)
Nd 0.2046 0.4092 0.8954  6 Ru 3.01-3.14
Nd 0.7954 0.5908 0.1046  6 Ru 3.01-3.14
Nd 0.2046 0.4092 0.6046  6 Ru 3.01-3.14
Nd 0.7954 0.5908 0.3954  6 Ru 3.01-3.14
Nd 0.4945 0.9891 0.7500  7 Ru 3.06-3.19, 2 Ga 3.40
Nd 0.5055 0.0109 0.2500  7 Ru 3.06-3.19, 2 Ga 3.40
Ga 0.5000 0.0000 0.0000  4 Ru 2.64
Ga 0.5000 0.0000 0.5000  4 Ru 2.64
Ru 0.9182 0.8363 0.9062  1 Ru 2.53, 2 Ga 2.64
Ru 0.0818 0.1637 0.0938  1 Ru 2.53, 2 Ga 2.64
Ru 0.9182 0.8363 0.5938  1 Ru 2.53, 2 Ga 2.64
Ru 0.0818 0.1637 0.4062  1 Ru 2.53, 2 Ga 2.64
Ru 0.7913 0.5825 0.7500  2 Ru 2.53
Ru 0.2087 0.4175 0.2500  2 Ru 2.53

## Properties
**DOS(E_F)**: 5.4 states/eV/f.u.
**Mass density**: 8.56 g/cm³
**Space-group type**: Cmcm
**M_tot**: 0.0 μB/cell
**Formation enthalpy at 0 K**: -319.6 meV per atom
**V**: 312 Å³/cell

---

Density functional theory data (GGA-PBE) for a relaxed PuU2Si2 crystal.

Cell: 4.6234 5.2479 5.2477 Å, 80.52 63.86 63.87°
Closest atoms and distances in Å follow each position.
Element x y z (fractional)
Pu 0.5000 0.5000 0.0000  4 Si 3.06, 4 U 3.12
U 0.0000 0.1905 0.3096  1 U 2.58
U 0.0000 0.8095 0.6904  1 U 2.58
Si 0.3066 0.1934 0.6933  1 Si 2.53
Si 0.6934 0.8066 0.3067  1 Si 2.53

## Properties
**DOS(E_F)**: 10.7 states/eV/f.u.
**Mass density**: 12.57 g/cm³
**Space-group type**: Immm
**M_tot**: 9.4 μB/cell
**Energy relative to the elements, uncorrected**: -269.4 meV/atom
**V**: 103 Å³/cell

---

Density functional theory data (GGA-PBE) for a relaxed Sc2CuSe crystal.

Cell: 4.9500 4.9500 4.9500 Å, 127.76 127.76 77.02°
Closest atoms and distances in Å follow each position.
Element x y z (fractional)
Cu 0.7500 0.2500 0.5000  8 Sc 2.92, 4 Se 3.08
Sc 0.0000 0.0000 0.0000  4 Se 2.92, 4 Cu 2.92, 4 Sc 3.08
Sc 0.5000 0.5000 0.0000  4 Se 2.92, 4 Cu 2.92, 4 Sc 3.08
Se 0.2500 0.7500 0.5000  8 Sc 2.92, 4 Cu 3.08

## Properties
**DOS(E_F)**: 3.1 states/eV/f.u.
**Mass density**: 5.24 g/cm³
**Space-group type**: I4/mmm
**M_tot**: 0.9 μB/cell
**Energy relative to the elements, uncorrected**: -573.0 meV/atom
**V**: 74 Å³/cell

---

Density functional theory data (GGA-PBE) for a relaxed Tb2Pm5Ho4 crystal.

Cell: 3.5441 11.6123 9.0010 Å, 93.95 101.35 90.00°
Closest atoms and distances in Å follow each position.
Element x y z (fractional)
Tb 0.7160 0.3521 0.4319  5 Pm 3.48-3.75, 2 Tb 3.54, 4 Ho 3.62-3.75
Tb 0.2840 0.6479 0.5681  5 Pm 3.48-3.75, 2 Tb 3.54, 4 Ho 3.62-3.75
Pm 0.9038 0.4646 0.8076  4 Ho 3.31-3.54, 3 Pm 3.44-3.54, 3 Tb 3.48-3.57
Pm 0.0962 0.5354 0.1924  4 Ho 3.31-3.54, 3 Pm 3.44-3.54, 3 Tb 3.48-3.57
Pm 0.8235 0.9303 0.6469  4 Ho 3.45-3.66, 6 Pm 3.54-3.63, 2 Tb 3.75
Pm 0.5000 0.0000 0.0000  6 Ho 3.51-3.55, 6 Pm 3.54-3.63
Pm 0.1765 0.0697 0.3531  4 Ho 3.45-3.66, 6 Pm 3.54-3.63, 2 Tb 3.75
Ho 0.3596 0.2046 0.7192  6 Pm 3.49-3.66, 4 Ho 3.54-3.58, 2 Tb 3.62
Ho 0.9652 0.7408 0.9303  5 Pm 3.31-3.51, 4 Ho 3.54-3.58
Ho 0.6404 0.7954 0.2808  6 Pm 3.49-3.66, 4 Ho 3.54-3.58, 2 Tb 3.62
Ho 0.0348 0.2592 0.0697  5 Pm 3.31-3.51, 4 Ho 3.54-3.58

## Properties
**DOS(E_F)**: 15.5 states/eV/f.u.
**Mass density**: 7.80 g/cm³
**Space-group type**: C2/m
**M_tot**: 0.0 μB/cell
**Offset from the most stable computed form**: 0.0 meV per atom
**Formation enthalpy at 0 K**: 72.7 meV per atom
**V**: 362 Å³/cell

---

Density functional theory data (GGA-PBE) for a relaxed ZnAgAu2 crystal.

Cell: 4.6111 4.6111 4.6111 Å, 60.00 60.00 60.00°
Closest atoms and distances in Å follow each position.
Element x y z (fractional)
Zn 0.2500 0.2500 0.2500  4 Au 2.82, 4 Ag 2.82
Au 0.0000 0.0000 0.0000  4 Zn 2.82, 4 Au 2.82
Au 0.7500 0.7500 0.7500  4 Ag 2.82, 4 Au 2.82
Ag 0.5000 0.5000 0.5000  4 Au 2.82, 4 Zn 2.82

## Properties
**DOS(E_F)**: 1.7 states/eV/f.u.
**Mass density**: 13.59 g/cm³
**Space-group type**: F-43m
**M_tot**: 0.0 μB/cell
**Formation enthalpy at 0 K**: -71.7 meV per atom
**V**: 69 Å³/cell